Entry 1:
{"formula": "Tb2Si2HgRh5", "functional": "PBE-GGA", "state": "relaxed", "cell": [[3.5250, 0.0000, 0.0000], [0.0000, 9.8239, 0.0000], [0.0000, 0.0000, 9.8239]], "species": ["Rh", "Rh", "Rh", "Rh", "Rh", "Rh", "Rh", "Rh", "Rh", "Rh", "Tb", "Tb", "Tb", "Tb", "Si", "Si", "Si", "Si", "Hg", "Hg"], "frac_coords": [[0.5000, 0.5000, 0.0000], [0.5000, 0.9307, 0.2183], [0.5000, 0.7183, 0.4307], [0.5000, 0.4307, 0.2817], [0.5000, 0.0693, 0.7817], [0.5000, 0.5693, 0.7183], [0.5000, 0.2817, 0.5693], [0.5000, 0.2183, 0.0693], [0.5000, 0.7817, 0.9307], [0.5000, 0.0000, 0.5000], [0.0000, 0.3247, 0.8247], [0.0000, 0.8247, 0.6753], [0.0000, 0.6753, 0.1753], [0.0000, 0.1753, 0.3247], [0.0000, 0.6230, 0.8770], [0.0000, 0.1230, 0.6230], [0.0000, 0.8770, 0.3770], [0.0000, 0.3770, 0.1230], [0.0000, 0.0000, 0.0000], [0.0000, 0.5000, 0.5000]], "formation_energy_uncorrected_mev_per_atom": -873}

Entry 2:
{"formula": "SiTc2HgRh", "functional": "PBE-GGA", "state": "relaxed", "cell": [[-0.8599, -3.6029, 3.1168], [4.0137, 0.5683, 1.7643], [-1.8385, 3.1728, 3.1604]], "species": ["Tc", "Tc", "Hg", "Rh", "Si"], "frac_coords": [[0.5000, 0.0000, 0.0000], [0.0000, 0.0000, 0.5000], [0.5000, 0.5000, 0.5000], [0.0000, 0.0000, 0.0000], [0.0000, 0.5000, 0.0000]], "formation_energy_uncorrected_mev_per_atom": 1306}

Entry 3:
{"formula": "TiSiHgRh2", "functional": "PBE-GGA", "state": "relaxed", "cell": [[-0.5213, 2.2649, -3.8731], [-3.1264, -3.7652, -1.7810], [-3.5747, 2.1468, 1.7366]], "species": ["Ti", "Rh", "Rh", "Hg", "Si"], "frac_coords": [[0.0000, 0.0000, 0.0000], [0.5000, 0.0000, 0.0000], [0.0000, 0.0000, 0.5000], [0.0000, 0.5000, 0.0000], [0.5000, 0.5000, 0.5000]], "formation_energy_uncorrected_mev_per_atom": 853}

Entry 4:
{"formula": "Sm6Hg2Rh", "functional": "PBE-GGA", "state": "relaxed", "cell": [[7.1009, 0.0000, 0.2114], [0.0000, 7.4255, 0.0000], [-0.5815, 0.0000, 10.4764]], "species": ["Hg", "Hg", "Hg", "Hg", "Sm", "Sm", "Sm", "Sm", "Sm", "Sm", "Sm", "Sm", "Sm", "Sm", "Sm", "Sm", "Rh", "Rh"], "frac_coords": [[0.4587, 0.0907, 0.2572], [0.5413, 0.9093, 0.7428], [0.0413, 0.5907, 0.2428], [0.9587, 0.4093, 0.7572], [0.6844, 0.1985, 0.5508], [0.8073, 0.6877, 0.5536], [0.3820, 0.5096, 0.7460], [0.6927, 0.1877, 0.9464], [0.3073, 0.8123, 0.0536], [0.3156, 0.8015, 0.4492], [0.8820, 0.9904, 0.2460], [0.8156, 0.6985, 0.9492], [0.1844, 0.3015, 0.0508], [0.1180, 0.0096, 0.7540], [0.6180, 0.4904, 0.2540], [0.1927, 0.3123, 0.4464], [0.5000, 0.5000, 0.0000], [0.0000, 0.0000, 0.5000]], "ef_mev_per_atom": -332}

Entry 5:
{"formula": "Sm12HgRh6", "functional": "PBE-GGA", "state": "relaxed", "cell": [[8.4803, -0.3232, -0.3872], [-1.6051, 8.3333, -0.3872], [-1.6051, -1.8700, 8.1300]], "species": ["Rh", "Rh", "Rh", "Rh", "Rh", "Rh", "Sm", "Sm", "Sm", "Sm", "Sm", "Sm", "Sm", "Sm", "Sm", "Sm", "Sm", "Sm", "Hg"], "frac_coords": [[0.6142, 0.3090, 0.1442], [0.8558, 0.3858, 0.6910], [0.3090, 0.1442, 0.6142], [0.6910, 0.8558, 0.3858], [0.3858, 0.6910, 0.8558], [0.1442, 0.6142, 0.3090], [0.4411, 0.8274, 0.5837], [0.6666, 0.9282, 0.0781], [0.8274, 0.5837, 0.4411], [0.4163, 0.5589, 0.1726], [0.0718, 0.9219, 0.3334], [0.5589, 0.1726, 0.4163], [0.0781, 0.6666, 0.9282], [0.5837, 0.4411, 0.8274], [0.9219, 0.3334, 0.0718], [0.1726, 0.4163, 0.5589], [0.3334, 0.0718, 0.9219], [0.9282, 0.0781, 0.6666], [0.0000, 0.0000, 0.0000]], "e_above_lowest_polymorph_ev_per_fu": 1.34, "ef_mev_per_atom": -461}

Entry 6:
{"formula": "Sm12HgRh6", "functional": "PBE-GGA", "state": "relaxed", "cell": [[8.2205, 0.0000, -2.9064], [-4.1103, 7.1192, -2.9064], [0.0000, 0.0000, 8.7192]], "species": ["Rh", "Rh", "Rh", "Rh", "Rh", "Rh", "Sm", "Sm", "Sm", "Sm", "Sm", "Sm", "Sm", "Sm", "Sm", "Sm", "Sm", "Sm", "Hg"], "frac_coords": [[0.5000, 0.8685, 0.3685], [0.6315, 0.5000, 0.1315], [0.8685, 0.3685, 0.5000], [0.3685, 0.5000, 0.8685], [0.5000, 0.1315, 0.6315], [0.1315, 0.6315, 0.5000], [0.1869, 0.6972, 0.8841], [0.8131, 0.3028, 0.1159], [0.3028, 0.4898, 0.1869], [0.8841, 0.1869, 0.6972], [0.1869, 0.3028, 0.4898], [0.3028, 0.1159, 0.8131], [0.1159, 0.8131, 0.3028], [0.4898, 0.1869, 0.3028], [0.5102, 0.8131, 0.6972], [0.8131, 0.6972, 0.5102], [0.6972, 0.5102, 0.8131], [0.6972, 0.8841, 0.1869], [0.0000, 0.0000, 0.0000]], "e_above_lowest_polymorph_ev_per_fu": 0.00, "ef_mev_per_atom": -532}

Entry 7:
{"formula": "Sm6HgRh3", "functional": "PBE-GGA", "state": "relaxed", "cell": [[-1.4488, 6.2470, -3.6048], [-3.1052, -4.6847, -6.8704], [-7.1878, 1.2505, 5.0560]], "species": ["Rh", "Rh", "Rh", "Rh", "Rh", "Rh", "Sm", "Sm", "Sm", "Sm", "Sm", "Sm", "Sm", "Sm", "Sm", "Sm", "Sm", "Sm", "Hg", "Hg"], "frac_coords": [[0.8860, 0.5991, 0.4009], [0.4706, 0.2923, 0.0823], [0.9706, 0.7077, 0.9177], [0.3860, 0.4009, 0.5991], [0.4706, 0.9177, 0.7077], [0.9706, 0.0823, 0.2923], [0.7601, 0.9865, 0.0135], [0.2426, 0.4767, 0.9117], [0.0857, 0.7748, 0.2252], [0.5857, 0.2252, 0.7748], [0.7426, 0.5233, 0.0883], [0.6680, 0.6321, 0.6977], [0.6680, 0.3023, 0.3679], [0.1680, 0.6977, 0.6321], [0.1680, 0.3679, 0.3023], [0.2601, 0.0135, 0.9865], [0.2426, 0.0883, 0.5233], [0.7426, 0.9117, 0.4767], [0.4910, 0.8121, 0.1879], [0.9910, 0.1879, 0.8121]], "e_above_lowest_polymorph_ev_per_fu": 0.78, "ef_mev_per_atom": -477}

Entry 8:
{"formula": "Sm3Hg3Rh2", "functional": "PBE-GGA", "state": "relaxed", "cell": [[3.7387, 0.0000, 0.0000], [0.0000, 6.6300, -3.8278], [0.0000, 0.0000, 7.6557]], "species": ["Sm", "Sm", "Sm", "Hg", "Hg", "Hg", "Rh", "Rh"], "frac_coords": [[0.5000, 0.5807, 0.0000], [0.5000, 0.0000, 0.5807], [0.5000, 0.4193, 0.4193], [0.0000, 0.0000, 0.2350], [0.0000, 0.2350, 0.0000], [0.0000, 0.7650, 0.7650], [0.0000, 0.6667, 0.3333], [0.0000, 0.3333, 0.6667]], "e_above_lowest_polymorph_ev_per_fu": 0.00, "ef_mev_per_atom": -602}

Entry 9:
{"formula": "Sm6HgRh2", "functional": "PBE-GGA", "state": "relaxed", "cell": [[8.1289, -0.1221, -2.9372], [-4.3820, 7.0677, -2.3595], [-0.0631, 0.1221, 8.6430]], "species": ["Sm", "Sm", "Sm", "Sm", "Sm", "Sm", "Sm", "Sm", "Sm", "Sm", "Sm", "Sm", "Rh", "Rh", "Rh", "Rh", "Hg", "Hg"], "frac_coords": [[0.1080, 0.2876, 0.8204], [0.6933, 0.3641, 0.6708], [0.1990, 0.7644, 0.9634], [0.1990, 0.2356, 0.4346], [0.5329, 0.7124, 0.8204], [0.3067, 0.9775, 0.6708], [0.8920, 0.7124, 0.1796], [0.4671, 0.2876, 0.1796], [0.8010, 0.2356, 0.0366], [0.8010, 0.7644, 0.5654], [0.3067, 0.6359, 0.3292], [0.6933, 0.0225, 0.3292], [0.5000, 0.3683, 0.8683], [0.6630, 0.0000, 0.6630], [0.5000, 0.6317, 0.1317], [0.3370, 0.0000, 0.3370], [0.0000, 0.0000, 0.0000], [0.0000, 0.5000, 0.5000]], "e_above_lowest_polymorph_ev_per_fu": 0.00, "ef_mev_per_atom": -498}

Entry 10:
{"formula": "Sm6Hg3Rh", "functional": "PBE-GGA", "state": "relaxed", "cell": [[-2.0702, 5.0439, 6.4835], [2.1996, -6.4113, 5.0814], [7.9114, 2.9999, -0.4163]], "species": ["Sm", "Sm", "Sm", "Sm", "Sm", "Sm", "Sm", "Sm", "Sm", "Sm", "Sm", "Sm", "Hg", "Hg", "Hg", "Hg", "Hg", "Hg", "Rh", "Rh"], "frac_coords": [[0.0803, 0.9599, 0.3137], [0.5808, 0.8137, 0.4604], [0.4604, 0.5808, 0.8137], [0.9599, 0.3137, 0.0803], [0.6863, 0.9197, 0.0401], [0.9197, 0.0401, 0.6863], [0.1863, 0.5396, 0.4192], [0.5396, 0.4192, 0.1863], [0.4192, 0.1863, 0.5396], [0.8137, 0.4604, 0.5808], [0.0401, 0.6863, 0.9197], [0.3137, 0.0803, 0.9599], [0.1467, 0.3537, 0.7500], [0.8533, 0.6463, 0.2500], [0.3537, 0.7500, 0.1467], [0.6463, 0.2500, 0.8533], [0.7500, 0.1467, 0.3537], [0.2500, 0.8533, 0.6463], [0.5000, 0.5000, 0.5000], [0.0000, 0.0000, 0.0000]], "ef_mev_per_atom": -330}

Entry 11:
{"formula": "Sm6HgRh", "functional": "PBE-GGA", "state": "relaxed", "cell": [[6.9657, 0.0155, -0.0243], [3.4809, 6.0875, -0.0114], [3.4434, 2.0167, 6.4421]], "species": ["Sm", "Sm", "Sm", "Sm", "Sm", "Sm", "Rh", "Hg"], "frac_coords": [[0.4194, 0.7818, 0.7522], [0.9528, 0.5812, 0.2464], [0.5806, 0.2182, 0.2478], [0.7788, 0.0445, 0.7523], [0.0472, 0.4188, 0.7536], [0.2212, 0.9555, 0.2477], [0.0000, 0.0000, 0.0000], [0.5000, 0.5000, 0.5000]], "ef_mev_per_atom": -116}

Entry 12:
{"formula": "Sm5HgRh", "functional": "PBE-GGA", "state": "relaxed", "cell": [[-0.3514, -4.0775, -4.4925], [4.7563, -3.6469, 1.0048], [-5.0219, -9.3741, 5.4005]], "species": ["Sm", "Sm", "Sm", "Sm", "Sm", "Sm", "Sm", "Sm", "Sm", "Sm", "Rh", "Rh", "Hg", "Hg"], "frac_coords": [[0.2136, 0.5445, 0.5608], [0.4218, 0.0786, 0.3720], [0.5445, 0.2136, 0.0608], [0.9214, 0.5782, 0.1280], [0.4555, 0.7864, 0.9392], [0.5782, 0.9214, 0.6280], [0.0129, 0.9871, 0.2500], [0.7864, 0.4555, 0.4392], [0.9871, 0.0129, 0.7500], [0.0786, 0.4218, 0.8720], [0.0000, 0.0000, 0.5000], [0.0000, 0.0000, 0.0000], [0.5806, 0.4194, 0.7500], [0.4194, 0.5806, 0.2500]], "ef_mev_per_atom": -270}